# 1
VASP calculation (PBE-GGA) on an optimized crystal structure of Tb3Sb3Mo2N12.

Lattice parameters (Å, degrees): 11.1372 11.1372 11.1372 109.47 109.47 109.47
Closest atoms and distances in Å follow each position.
Element x y z (fractional)
1 Tb 0.1250 0.2500 0.3750  8 N 2.51
2 Tb 0.1250 0.3750 0.7500  8 N 2.51
3 Tb 0.2500 0.3750 0.1250  8 N 2.51
4 Tb 0.2500 0.8750 0.6250  8 N 2.51
5 Tb 0.3750 0.1250 0.2500  8 N 2.51
6 Tb 0.3750 0.7500 0.1250  8 N 2.51
7 Tb 0.6250 0.2500 0.8750  8 N 2.51
8 Tb 0.6250 0.8750 0.7500  8 N 2.51
9 Tb 0.7500 0.1250 0.3750  8 N 2.51
10 Tb 0.7500 0.6250 0.8750  8 N 2.51
11 Tb 0.8750 0.6250 0.2500  8 N 2.51
12 Tb 0.8750 0.7500 0.6250  8 N 2.51
13 Sb 0.1250 0.7500 0.8750  4 N 1.99
14 Sb 0.1250 0.8750 0.2500  4 N 1.99
15 Sb 0.2500 0.1250 0.8750  4 N 1.99
16 Sb 0.2500 0.6250 0.3750  4 N 1.99
17 Sb 0.3750 0.2500 0.6250  4 N 1.99
18 Sb 0.3750 0.6250 0.7500  4 N 1.99
19 Sb 0.6250 0.3750 0.2500  4 N 1.99
20 Sb 0.6250 0.7500 0.3750  4 N 1.99
21 Sb 0.7500 0.3750 0.6250  4 N 1.99
22 Sb 0.7500 0.8750 0.1250  4 N 1.99
23 Sb 0.8750 0.1250 0.7500  4 N 1.99
24 Sb 0.8750 0.2500 0.1250  4 N 1.99
25 Mo 0.0000 0.0000 0.0000  6 N 2.04
26 Mo 0.0000 0.0000 0.5000  6 N 2.04
27 Mo 0.0000 0.5000 0.0000  6 N 2.04
28 Mo 0.0000 0.5000 0.5000  6 N 2.04
29 Mo 0.5000 0.0000 0.0000  6 N 2.04
30 Mo 0.5000 0.0000 0.5000  6 N 2.04
31 Mo 0.5000 0.5000 0.0000  6 N 2.04
32 Mo 0.5000 0.5000 0.5000  6 N 2.04
33 N 0.0298 0.2026 0.1163  1 Sb 1.99, 1 Mo 2.04
34 N 0.0298 0.3273 0.9135  1 Sb 1.99, 1 Mo 2.04
35 N 0.0865 0.6163 0.4138  1 Sb 1.99, 1 Mo 2.04
36 N 0.0862 0.7026 0.6727  1 Sb 1.99, 1 Mo 2.04
37 N 0.0862 0.8837 0.4135  1 Sb 1.99, 1 Mo 2.04
38 N 0.0865 0.9702 0.6727  1 Sb 1.99, 1 Mo 2.04
39 N 0.1163 0.0298 0.2026  1 Sb 1.99, 1 Mo 2.04
40 N 0.1163 0.5865 0.9138  1 Sb 1.99, 1 Mo 2.04
41 N 0.1727 0.2026 0.5862  1 Sb 1.99, 1 Mo 2.04
42 N 0.1727 0.4702 0.5865  1 Sb 1.99, 1 Mo 2.04
43 N 0.2026 0.1163 0.0298  1 Sb 1.99, 1 Mo 2.04
44 N 0.2026 0.5862 0.1727  1 Sb 1.99, 1 Mo 2.04
45 N 0.2974 0.3273 0.9138  1 Sb 1.99, 1 Mo 2.04
46 N 0.2974 0.4702 0.3837  1 Sb 1.99, 1 Mo 2.04
47 N 0.3273 0.9135 0.0298  1 Sb 1.99, 1 Mo 2.04
48 N 0.3273 0.9138 0.2974  1 Sb 1.99, 1 Mo 2.04
49 N 0.3837 0.2974 0.4702  1 Sb 1.99, 1 Mo 2.04
50 N 0.3837 0.5862 0.9135  1 Sb 1.99, 1 Mo 2.04
51 N 0.4138 0.0865 0.6163  1 Sb 1.99, 1 Mo 2.04
52 N 0.4135 0.0862 0.8837  1 Sb 1.99, 1 Mo 2.04
53 N 0.4135 0.8273 0.5298  1 Sb 1.99, 1 Mo 2.04
54 N 0.4138 0.8273 0.7974  1 Sb 1.99, 1 Mo 2.04
55 N 0.4702 0.3837 0.2974  1 Sb 1.99, 1 Mo 2.04
56 N 0.4702 0.5865 0.1727  1 Sb 1.99, 1 Mo 2.04
57 N 0.5298 0.4135 0.8273  1 Sb 1.99, 1 Mo 2.04
58 N 0.5298 0.6163 0.7026  1 Sb 1.99, 1 Mo 2.04
59 N 0.5862 0.1727 0.2026  1 Sb 1.99, 1 Mo 2.04
60 N 0.5865 0.1727 0.4702  1 Sb 1.99, 1 Mo 2.04
61 N 0.5865 0.9138 0.1163  1 Sb 1.99, 1 Mo 2.04
62 N 0.5862 0.9135 0.3837  1 Sb 1.99, 1 Mo 2.04
63 N 0.6163 0.4138 0.0865  1 Sb 1.99, 1 Mo 2.04
64 N 0.6163 0.7026 0.5298  1 Sb 1.99, 1 Mo 2.04
65 N 0.6727 0.0862 0.7026  1 Sb 1.99, 1 Mo 2.04
66 N 0.6727 0.0865 0.9702  1 Sb 1.99, 1 Mo 2.04
67 N 0.7026 0.5298 0.6163  1 Sb 1.99, 1 Mo 2.04
68 N 0.7026 0.6727 0.0862  1 Sb 1.99, 1 Mo 2.04
69 N 0.7974 0.4138 0.8273  1 Sb 1.99, 1 Mo 2.04
70 N 0.7974 0.8837 0.9702  1 Sb 1.99, 1 Mo 2.04
71 N 0.8273 0.5298 0.4135  1 Sb 1.99, 1 Mo 2.04
72 N 0.8273 0.7974 0.4138  1 Sb 1.99, 1 Mo 2.04
73 N 0.8837 0.4135 0.0862  1 Sb 1.99, 1 Mo 2.04
74 N 0.8837 0.9702 0.7974  1 Sb 1.99, 1 Mo 2.04
75 N 0.9135 0.0298 0.3273  1 Sb 1.99, 1 Mo 2.04
76 N 0.9138 0.1163 0.5865  1 Sb 1.99, 1 Mo 2.04
77 N 0.9138 0.2974 0.3273  1 Sb 1.99, 1 Mo 2.04
78 N 0.9135 0.3837 0.5862  1 Sb 1.99, 1 Mo 2.04
79 N 0.9702 0.6727 0.0865  1 Sb 1.99, 1 Mo 2.04
80 N 0.9702 0.7974 0.8837  1 Sb 1.99, 1 Mo 2.04

Summary:
Magnetic moment in μB/atom: 0.00
Symmetry: No. 230
Raw total energy in eV/atom: -7.64

# 2
VASP calculation (PBE-GGA) on an optimized crystal structure of DyC.

Lattice parameters (Å, degrees): 5.4294 5.4294 5.4294 90.00 90.00 90.00
Closest atoms and distances in Å follow each position.
Element x y z (fractional)
1 Dy 0.0000 0.0000 0.0000  4 C 2.35
2 Dy 0.0000 0.5000 0.5000  4 C 2.35
3 Dy 0.5000 0.0000 0.5000  4 C 2.35
4 Dy 0.5000 0.5000 0.0000  4 C 2.35
5 C 0.2500 0.2500 0.2500  4 Dy 2.35
6 C 0.2500 0.7500 0.7500  4 Dy 2.35
7 C 0.7500 0.2500 0.7500  4 Dy 2.35
8 C 0.7500 0.7500 0.2500  4 Dy 2.35

Summary:
Magnetic moment in μB/atom: 0.01
Symmetry: No. 216
Raw total energy in eV/atom: -6.46

# 3
VASP calculation (PBE-GGA) on an optimized crystal structure of PrSmAsO.

Lattice parameters (Å, degrees): 4.3772 4.3772 9.3689 90.00 90.00 90.00
Closest atoms and distances in Å follow each position.
Element x y z (fractional)
1 Pr 0.2500 0.7500 0.0000  4 As 2.98, 4 Pr 3.10
2 Pr 0.7500 0.2500 0.0000  4 As 2.98, 4 Pr 3.10
3 Sm 0.2500 0.2500 0.3989  4 O 2.38
4 Sm 0.7500 0.7500 0.6011  4 O 2.38
5 As 0.2500 0.2500 0.7838  4 Pr 2.98
6 As 0.7500 0.7500 0.2162  4 Pr 2.98
7 O 0.2500 0.7500 0.5000  4 Sm 2.38
8 O 0.7500 0.2500 0.5000  4 Sm 2.38

Summary:
Polymorph energy (0 for the lowest one) in eV per atom: 0.125
Magnetic moment in μB/atom: 0.01
Symmetry: No. 129
Raw total energy in eV/atom: -6.57

# 4
VASP calculation (PBE-GGA) on an optimized crystal structure of TaZnFePb.

Lattice parameters (Å, degrees): 6.5296 6.5296 6.5296 90.00 90.00 90.00
Closest atoms and distances in Å follow each position.
Element x y z (fractional)
1 Ta 0.0000 0.0000 0.0000  4 Pb 2.83, 4 Zn 2.83
2 Ta 0.0000 0.5000 0.5000  4 Pb 2.83, 4 Zn 2.83
3 Ta 0.5000 0.0000 0.5000  4 Pb 2.83, 4 Zn 2.83
4 Ta 0.5000 0.5000 0.0000  4 Pb 2.83, 4 Zn 2.83
5 Zn 0.2500 0.2500 0.7500  4 Ta 2.83, 4 Fe 2.83
6 Zn 0.2500 0.7500 0.2500  4 Ta 2.83, 4 Fe 2.83
7 Zn 0.7500 0.2500 0.2500  4 Ta 2.83, 4 Fe 2.83
8 Zn 0.7500 0.7500 0.7500  4 Ta 2.83, 4 Fe 2.83
9 Fe 0.0000 0.0000 0.5000  4 Zn 2.83, 4 Pb 2.83
10 Fe 0.0000 0.5000 0.0000  4 Zn 2.83, 4 Pb 2.83
11 Fe 0.5000 0.0000 0.0000  4 Zn 2.83, 4 Pb 2.83
12 Fe 0.5000 0.5000 0.5000  4 Zn 2.83, 4 Pb 2.83
13 Pb 0.2500 0.2500 0.2500  4 Ta 2.83, 4 Fe 2.83
14 Pb 0.2500 0.7500 0.7500  4 Ta 2.83, 4 Fe 2.83
15 Pb 0.7500 0.2500 0.7500  4 Ta 2.83, 4 Fe 2.83
16 Pb 0.7500 0.7500 0.2500  4 Ta 2.83, 4 Fe 2.83

Summary:
Polymorph energy (0 for the lowest one) in eV per atom: 0.154
Magnetic moment in μB/atom: 0.46
Symmetry: No. 216
Raw total energy in eV/atom: -5.62

# 5
VASP calculation (PBE-GGA) on an optimized crystal structure of Er3Al3Ni2Ir.

Lattice parameters (Å, degrees): 6.9500 6.9500 3.9499 90.00 90.00 120.00
Closest atoms and distances in Å follow each position.
Element x y z (fractional)
1 Er 0.0000 0.4190 0.0000  4 Ni 2.87, 1 Ir 2.91, 6 Al 3.07-3.21
2 Er 0.4190 0.0000 0.0000  4 Ni 2.87, 1 Ir 2.91, 6 Al 3.07-3.21
3 Er 0.5810 0.5810 0.0000  4 Ni 2.87, 1 Ir 2.91, 6 Al 3.07-3.21
4 Al 0.0000 0.7568 0.5000  2 Ir 2.60, 2 Ni 2.69
5 Al 0.2432 0.2432 0.5000  2 Ir 2.60, 2 Ni 2.69
6 Al 0.7568 0.0000 0.5000  2 Ir 2.60, 2 Ni 2.69
7 Ni 0.3333 0.6667 0.5000  3 Al 2.69, 6 Er 2.87
8 Ni 0.6667 0.3333 0.5000  3 Al 2.69, 6 Er 2.87
9 Ir 0.0000 0.0000 0.0000  6 Al 2.60

Summary:
Magnetic moment in μB/atom: 0.00
Symmetry: No. 189
Raw total energy in eV/atom: -5.71

# 6
VASP calculation (PBE-GGA) on an optimized crystal structure of TmCdCuSe3.

Lattice parameters (Å, degrees): 6.7835 6.7835 10.4624 90.00 90.00 146.61
Closest atoms and distances in Å follow each position.
Element x y z (fractional)
1 Tm 0.0000 0.0000 0.0000  6 Se 2.81-2.91
2 Tm 0.0000 0.0000 0.5000  6 Se 2.81-2.91
3 Cd 0.2325 0.7675 0.7500  6 Se 2.93-2.95
4 Cd 0.7675 0.2325 0.2500  6 Se 2.93-2.95
5 Cu 0.4758 0.5242 0.2500  4 Se 2.44-2.51
6 Cu 0.5242 0.4758 0.7500  4 Se 2.44-2.51
7 Se 0.0975 0.9025 0.2500  2 Cu 2.51
8 Se 0.3549 0.6451 0.0713  1 Cu 2.44
9 Se 0.3549 0.6451 0.4287  1 Cu 2.44
10 Se 0.6451 0.3549 0.5713  1 Cu 2.44
11 Se 0.6451 0.3549 0.9287  1 Cu 2.44
12 Se 0.9025 0.0975 0.7500  2 Cu 2.51

Summary:
Polymorph energy (0 for the lowest one) in eV per atom: 0.016
Magnetic moment in μB/atom: 0.00
Symmetry: No. 63
Raw total energy in eV/atom: -4.16

# 7
VASP calculation (PBE-GGA) on an optimized crystal structure of Hf5Sn3Pd.

Lattice parameters (Å, degrees): 8.6498 8.6498 5.8276 90.00 90.00 120.00
Closest atoms and distances in Å follow each position.
Element x y z (fractional)
1 Hf 0.0000 0.2720 0.2500  2 Pd 2.77, 5 Sn 2.96-3.08
2 Hf 0.0000 0.7280 0.7500  2 Pd 2.77, 5 Sn 2.96-3.08
3 Hf 0.2720 0.0000 0.2500  2 Pd 2.77, 5 Sn 2.96-3.08
4 Hf 0.2720 0.2720 0.7500  2 Pd 2.77, 5 Sn 2.96-3.08
5 Hf 0.3333 0.6667 0.0000  2 Hf 2.91, 6 Sn 3.05
6 Hf 0.3333 0.6667 0.5000  2 Hf 2.91, 6 Sn 3.05
7 Hf 0.6667 0.3333 0.0000  2 Hf 2.91, 6 Sn 3.05
8 Hf 0.6667 0.3333 0.5000  2 Hf 2.91, 6 Sn 3.05
9 Hf 0.7280 0.0000 0.7500  2 Pd 2.77, 5 Sn 2.96-3.08
10 Hf 0.7280 0.7280 0.2500  2 Pd 2.77, 5 Sn 2.96-3.08
11 Sn 0.0000 0.3859 0.7500  9 Hf 2.96-3.08
12 Sn 0.0000 0.6141 0.2500  9 Hf 2.96-3.08
13 Sn 0.3859 0.0000 0.7500  9 Hf 2.96-3.08
14 Sn 0.3859 0.3859 0.2500  9 Hf 2.96-3.08
15 Sn 0.6141 0.0000 0.2500  9 Hf 2.96-3.08
16 Sn 0.6141 0.6141 0.7500  9 Hf 2.96-3.08
17 Pd 0.0000 0.0000 0.0000  6 Hf 2.77, 2 Pd 2.91
18 Pd 0.0000 0.0000 0.5000  6 Hf 2.77, 2 Pd 2.91

Summary:
Magnetic moment in μB/atom: 0.00
Symmetry: No. 193
Raw total energy in eV/atom: -7.89

# 8
VASP calculation (PBE-GGA) on an optimized crystal structure of NpUZn.

Lattice parameters (Å, degrees): 6.2343 6.2343 6.2343 90.00 90.00 90.00
Closest atoms and distances in Å follow each position.
Element x y z (fractional)
1 Np 0.0000 0.0000 0.0000  4 U 2.70
2 Np 0.0000 0.5000 0.5000  4 U 2.70
3 Np 0.5000 0.0000 0.5000  4 U 2.70
4 Np 0.5000 0.5000 0.0000  4 U 2.70
5 U 0.2500 0.2500 0.2500  4 Np 2.70, 4 Zn 2.70
6 U 0.2500 0.7500 0.7500  4 Np 2.70, 4 Zn 2.70
7 U 0.7500 0.2500 0.7500  4 Np 2.70, 4 Zn 2.70
8 U 0.7500 0.7500 0.2500  4 Np 2.70, 4 Zn 2.70
9 Zn 0.0000 0.0000 0.5000  4 U 2.70
10 Zn 0.0000 0.5000 0.0000  4 U 2.70
11 Zn 0.5000 0.0000 0.0000  4 U 2.70
12 Zn 0.5000 0.5000 0.5000  4 U 2.70

Summary:
E_form in eV per atom: 0.7281
Magnetic moment in μB/atom: 1.31
Symmetry: No. 216
Raw total energy in eV/atom: -7.72

The highest magnetic moment belongs to which entry? NpUZn

The highest magnetic moment belongs to which entry? NpUZn

The lowest raw total energy belongs to which entry? Hf5Sn3Pd